Here is NaTeH2S after structural relaxation from the Alexandria database. Energies are from PBE.

Space group: P4/mmm
Energy: -0.210 Ry/atom
V: 103.8 Å³/cell

a b c (Å): 3.931 6.720 3.931
angles (deg): 90.00 90.00 90.00
Each line ends with the local moment (μB).
Element x y z (fractional)
Na: 0.000 0.500 0.000  0.00
S: 0.500 0.500 0.500  0.60
Te: 0.000 0.000 0.000  -0.03
H: 0.000 0.000 0.500  0.03
H: 0.500 0.000 0.000  0.01


Here is PrHoLuHg after structural relaxation from the Alexandria database. Energies are from PBE.

Energy of formation from the pure elements: -0.07 eV/atom
Space group: F-43m
V: 114.4 Å³/cell

a b c (Å): 5.449 5.449 5.449
angles (deg): 60.00 60.00 60.00
Element x y z (fractional)
Pr: 0.500 0.500 0.500
Lu: 0.750 0.750 0.750
Hg: 0.250 0.250 0.250
Ho: 0.000 0.000 0.000


Here is CrSb4Br after structural relaxation from the Alexandria database. Energies are from PBE.

Space group: F-43m
Energy: -0.307 Ry/atom
V: 178.7 Å³/cell

a b c (Å): 6.322 6.322 6.322
angles (deg): 60.00 60.00 60.00
Each line ends with the local moment (μB).
Element x y z (fractional)
Cr: 0.000 0.000 0.000  4.23
Sb: 0.848 0.384 0.384  0.00
Sb: 0.384 0.384 0.848  0.00
Sb: 0.384 0.848 0.384  0.00
Sb: 0.384 0.384 0.384  0.00
Br: 0.750 0.750 0.750  0.03


> Which value of V does entry 1 give?

103.8 Å³/cell


> Look up the V of the first one.

103.8 Å³/cell


> The lowest V belongs to which entry?

NaTeH2S


What did the third record say?
Here is CrSb4Br after structural relaxation from the Alexandria database. Energies are from PBE.

Space group: F-43m
Energy: -0.307 Ry/atom
V: 178.7 Å³/cell

a b c (Å): 6.322 6.322 6.322
angles (deg): 60.00 60.00 60.00
Each line ends with the local moment (μB).
Element x y z (fractional)
Cr: 0.000 0.000 0.000  4.23
Sb: 0.848 0.384 0.384  0.00
Sb: 0.384 0.384 0.848  0.00
Sb: 0.384 0.848 0.384  0.00
Sb: 0.384 0.384 0.384  0.00
Br: 0.750 0.750 0.750  0.03